No. 1
A relaxed LiNiO2 crystal. Source: the Alexandria database, functional PBE with a Hubbard U.

Uncorrected energy in eV/f.u.: -19.23
Density in g/cm³: 4.5
Crystal system: trigonal
Size of the total moment in Bohr magnetons per cell: 1.00

abc: 5.2377 5.2377 5.2377
angles: 31.97 31.97 31.97
Closest atoms and distances in Å follow each position.
Positions (direct):
1 Li 0.0000 0.0000 0.0000  6 O 2.11-2.21
2 Ni 0.1718 0.1718 0.1718  6 O 2.00
3 O 0.5792 0.5792 0.5792  3 Ni 2.00, 3 Li 2.11
4 O 0.7645 0.7645 0.7645  3 Ni 2.00, 3 Li 2.21

---

No. 2
A relaxed LiNi3O3 crystal. Source: the Alexandria database, functional PBE with a Hubbard U.

Uncorrected energy in eV/f.u.: -29.69
Density in g/cm³: 4.5
Crystal system: trigonal
Size of the total moment in Bohr magnetons per cell: 10.00

abc: 7.1828 7.1828 7.1828
angles: 45.52 45.52 45.52
Closest atoms and distances in Å follow each position.
Positions (direct):
1 Li 0.1925 0.1925 0.1925  3 O 1.97
2 Li 0.8075 0.8075 0.8075  3 O 1.97
3 Ni 0.0853 0.3312 0.7856  3 O 1.88-2.01
4 Ni 0.2144 0.9147 0.6688  3 O 1.88-2.01
5 Ni 0.3312 0.7856 0.0853  3 O 1.88-2.01
6 Ni 0.6688 0.2144 0.9147  3 O 1.88-2.01
7 Ni 0.7856 0.0853 0.3312  3 O 1.88-2.01
8 Ni 0.9147 0.6688 0.2144  3 O 1.88-2.01
9 O 0.0665 0.7234 0.4683  3 Ni 1.88-2.01, 1 Li 1.97
10 O 0.2766 0.5317 0.9335  3 Ni 1.88-2.01, 1 Li 1.97
11 O 0.4683 0.0665 0.7234  3 Ni 1.88-2.01, 1 Li 1.97
12 O 0.5317 0.9335 0.2766  3 Ni 1.88-2.01, 1 Li 1.97
13 O 0.7234 0.4683 0.0665  3 Ni 1.88-2.01, 1 Li 1.97
14 O 0.9335 0.2766 0.5317  3 Ni 1.88-2.01, 1 Li 1.97